Rb3Si5I12: optimized geometry, GGA-PBE.

## Properties
Raw total energy: -2.776 eV per atom
Uncorrected formation energy: -346 meV/atom
V: 3628 Å³/cell

abc: 16.7653 16.7653 16.7653
angles: 109.47 109.47 109.47
Atoms (fractional coordinates):
Rb (0.1250, 0.2500, 0.3750)
Rb (0.1250, 0.3750, 0.7500)
Rb (0.2500, 0.3750, 0.1250)
Rb (0.2500, 0.8750, 0.6250)
Rb (0.3750, 0.1250, 0.2500)
Rb (0.3750, 0.7500, 0.1250)
Rb (0.6250, 0.2500, 0.8750)
Rb (0.6250, 0.8750, 0.7500)
Rb (0.7500, 0.1250, 0.3750)
Rb (0.7500, 0.6250, 0.8750)
Rb (0.8750, 0.6250, 0.2500)
Rb (0.8750, 0.7500, 0.6250)
Si (0.0000, 0.0000, 0.0000)
Si (0.0000, 0.0000, 0.5000)
Si (0.0000, 0.5000, 0.0000)
Si (0.0000, 0.5000, 0.5000)
Si (0.1250, 0.7500, 0.8750)
Si (0.1250, 0.8750, 0.2500)
Si (0.2500, 0.1250, 0.8750)
Si (0.2500, 0.6250, 0.3750)
Si (0.3750, 0.2500, 0.6250)
Si (0.3750, 0.6250, 0.7500)
Si (0.5000, 0.0000, 0.0000)
Si (0.5000, 0.0000, 0.5000)
Si (0.5000, 0.5000, 0.0000)
Si (0.5000, 0.5000, 0.5000)
Si (0.6250, 0.3750, 0.2500)
Si (0.6250, 0.7500, 0.3750)
Si (0.7500, 0.3750, 0.6250)
Si (0.7500, 0.8750, 0.1250)
Si (0.8750, 0.1250, 0.7500)
Si (0.8750, 0.2500, 0.1250)
I (0.0103, 0.1883, 0.1090)
I (0.0103, 0.3221, 0.9013)
I (0.0792, 0.6883, 0.6779)
I (0.0792, 0.8910, 0.4013)
I (0.0987, 0.6090, 0.4208)
I (0.0987, 0.9897, 0.6779)
I (0.1090, 0.0103, 0.1883)
I (0.1090, 0.5987, 0.9208)
I (0.1779, 0.1883, 0.5792)
I (0.1779, 0.4897, 0.5987)
I (0.1883, 0.1090, 0.0103)
I (0.1883, 0.5792, 0.1779)
I (0.3117, 0.3221, 0.9208)
I (0.3117, 0.4897, 0.3910)
I (0.3221, 0.9013, 0.0103)
I (0.3221, 0.9208, 0.3117)
I (0.3910, 0.3117, 0.4897)
I (0.3910, 0.5792, 0.9013)
I (0.4013, 0.0792, 0.8910)
I (0.4013, 0.8221, 0.5103)
I (0.4208, 0.0987, 0.6090)
I (0.4208, 0.8221, 0.8117)
I (0.4897, 0.3910, 0.3117)
I (0.4897, 0.5987, 0.1779)
I (0.5103, 0.4013, 0.8221)
I (0.5103, 0.6090, 0.6883)
I (0.5792, 0.1779, 0.1883)
I (0.5792, 0.9013, 0.3910)
I (0.5987, 0.1779, 0.4897)
I (0.5987, 0.9208, 0.1090)
I (0.6090, 0.4208, 0.0987)
I (0.6090, 0.6883, 0.5103)
I (0.6779, 0.0792, 0.6883)
I (0.6779, 0.0987, 0.9897)
I (0.6883, 0.5103, 0.6090)
I (0.6883, 0.6779, 0.0792)
I (0.8117, 0.4208, 0.8221)
I (0.8117, 0.8910, 0.9897)
I (0.8221, 0.5103, 0.4013)
I (0.8221, 0.8117, 0.4208)
I (0.8910, 0.4013, 0.0792)
I (0.8910, 0.9897, 0.8117)
I (0.9013, 0.0103, 0.3221)
I (0.9013, 0.3910, 0.5792)
I (0.9208, 0.1090, 0.5987)
I (0.9208, 0.3117, 0.3221)
I (0.9897, 0.6779, 0.0987)
I (0.9897, 0.8117, 0.8910)